The following is a PBE-GGA calculation of Pu12PdRu6 after structural relaxation, from the Alexandria database.

Computed properties:
- E_form: -0.042 eV/atom
- SG: R-3, No. 148
- Total magnetization: 0.10 μB/f.u.

abc: 7.268 7.268 7.268
angles: 96.08 96.08 96.08
Fractional coordinates of all 19 atoms:
1 Pu 0.021 0.326 0.897
2 Pu 0.097 0.341 0.411
3 Pu 0.103 0.979 0.674
4 Pu 0.326 0.897 0.021
5 Pu 0.341 0.411 0.097
6 Pu 0.411 0.097 0.341
7 Pu 0.589 0.903 0.659
8 Pu 0.659 0.589 0.903
9 Pu 0.674 0.103 0.979
10 Pu 0.897 0.021 0.326
11 Pu 0.903 0.659 0.589
12 Pu 0.979 0.674 0.103
13 Pd 0.500 0.500 0.500
14 Ru 0.252 0.739 0.391
15 Ru 0.261 0.609 0.748
16 Ru 0.391 0.252 0.739
17 Ru 0.609 0.748 0.261
18 Ru 0.739 0.391 0.252
19 Ru 0.748 0.261 0.609

***

The following is a PBE-GGA calculation of Pu6PdRu2 after structural relaxation, from the Alexandria database.

Computed properties:
- E_form: 0.161 eV/atom
- SG: P-31m, No. 162
- Total magnetization: 0.00 μB/f.u.

abc: 7.787 7.787 2.812
angles: 90.00 90.00 120.00
Fractional coordinates of all 9 atoms:
1 Pu 0.000 0.344 0.084
2 Pu 0.000 0.656 0.916
3 Pu 0.344 0.000 0.084
4 Pu 0.344 0.344 0.916
5 Pu 0.656 0.000 0.916
6 Pu 0.656 0.656 0.084
7 Pd 0.000 0.000 0.500
8 Ru 0.333 0.667 0.500
9 Ru 0.667 0.333 0.500